Density functional theory data (PBE) for an optimized crystal structure of LaPrTeCl.

Cell and atoms, written as extended XYZ:
```
4
Lattice="-1.203 -2.024 -4.836 1.376 -5.055 -1.218 -3.795 -3.783 -0.464" Properties=species:S:1:pos:R:3 pbc="T T T"
Pr -2.717 -8.147 -4.889
Cl -1.811 -5.431 -3.259
Te 0.000 0.000 0.000
La -0.906 -2.716 -1.630
```

Calculated values
As for the total magnetization: 0.000 μB per atom. Its space group is F-43m. As for the uncorrected formation energy: -1.38 eV per atom.